{"formula": "ScCrSi2", "functional": "meta-GGA SCAN", "state": "single point on PBEsol structure", "lattice_angstrom": [[3.7578, 0.0000, 0.0000], [0.0000, 3.3041, 0.0000], [0.0000, 0.0000, 9.3475]], "species": ["Sc", "Sc", "Cr", "Cr", "Si", "Si", "Si", "Si"], "frac_coords": [[0.0000, 0.0000, 0.0000], [0.0000, 0.5000, 0.5000], [0.5000, 0.0000, 0.2880], [0.5000, 0.5000, 0.7880], [0.0000, 0.0000, 0.7306], [0.0000, 0.5000, 0.2306], [0.5000, 0.0000, 0.5761], [0.5000, 0.5000, 0.0761]], "dos_at_fermi_per_ev_cell": 4.17, "e_form_raw_ev_per_fu": -1.332, "e_above_lowest_polymorph_ev_per_fu": 0.00}